Record 1
The following is a DFT calculation (PBE) of La2Er2Sn2C after structural relaxation.

Calculated values
DOS(E_F): 0.99 states/eV per cell
Energy: -5.920 eV/atom
Calculated formation energy: -5.23 eV per formula unit

Cell: 4.8436 4.8436 16.7509 Å, 90.00 90.00 90.00°
Space group I4/mmm (No. 139)
Asymmetric unit:
La: 0.0000 0.0000 0.1604
Er: 0.0000 0.5000 0.0000
Sn: 0.0000 0.0000 0.3674
C: 0.0000 0.0000 0.0000

=====

Record 2
The following is a DFT calculation (PBE) of LaHo2ErP4 after structural relaxation.

Calculated values
DOS(E_F): 0.79 states/eV per cell
Energy: -6.615 eV/atom
Calculated formation energy: -12.64 eV per formula unit

Cell: 7.0250 4.0595 7.0257 Å, 90.00 109.42 90.00°
Space group P2/m (No. 10)
Asymmetric unit:
La: 0.0000 0.0000 0.0000
Ho: 0.0000 0.5000 0.5000
Ho: 0.5000 0.0000 0.5000
Er: 0.5000 0.5000 0.0000
P: 0.2556 0.0000 0.7459
P: 0.2606 0.5000 0.2598

=====

Record 3
The following is a DFT calculation (PBE) of Pm2Os after structural relaxation.

Calculated values
DOS(E_F): 7.62 states/eV per cell
ΔE to the lowest computed polymorph: 0.00 eV per formula unit
Energy: -6.996 eV/atom
Calculated formation energy: -0.26 eV per formula unit

Cell: 6.9223 6.9223 6.9223 Å, 90.00 90.00 90.00°
Space group Fm-3m (No. 225)
Asymmetric unit:
Pm: 0.2500 0.2500 0.2500
Os: 0.0000 0.0000 0.0000

=====

> Look up the DOS(E_F) of the third one.

7.62 states/eV per cell